1.
The following is a DFT calculation (PBE-GGA) of a relaxed structure of Sm6Y8Ho.

Geometry as CIF:
```
data_Sm6Y8Ho
_chemical_formula_sum 'Sm18 Y24 Ho3'
_cell_length_a 9.1157
_cell_length_b 9.1157
_cell_length_c 20.8798
_cell_angle_alpha 90.00
_cell_angle_beta 90.00
_cell_angle_gamma 120.00
_space_group_name_H-M_alt 'R -3'
_space_group_IT_number 148
_space_group_name_Hall '-R 3'
loop_
_atom_site_label
_atom_site_type_symbol
_atom_site_fract_x
_atom_site_fract_y
_atom_site_fract_z
_atom_site_occupancy
Sm1 Sm 0.0638 0.8151 0.2090 1
Y1 Y 0.0000 0.0000 0.0771 1
Y2 Y 0.0816 0.5267 0.3076 1
Ho1 Ho 0.0000 0.0000 0.5000 1
```

## Properties
Relative energy among the computed polymorphs: 0.0 meV/atom
DOS at the Fermi energy: 70.16 states/eV/cell
Crystal system: trigonal
M_tot: 0.00 μB per formula unit
E_form: 0.12 eV per atom



2.
The following is a DFT calculation (PBE-GGA) of a relaxed structure of Tl2CdTc.

Geometry as CIF:
```
data_Tl2CdTc
_chemical_formula_sum 'Tl2 Cd1 Tc1'
_cell_length_a 3.333
_cell_length_b 4.286
_cell_length_c 6.154
_cell_angle_alpha 90.00
_cell_angle_beta 90.00
_cell_angle_gamma 90.00
_space_group_name_H-M_alt 'P m m 2'
_space_group_IT_number 25
_space_group_name_Hall 'P 2 -2'
loop_
_atom_site_label
_atom_site_type_symbol
_atom_site_fract_x
_atom_site_fract_y
_atom_site_fract_z
_atom_site_occupancy
Tl1 Tl 0.000 0.000 0.000 1
Tl2 Tl 0.500 0.500 0.289 1
Cd1 Cd 0.000 0.000 0.542 1
Tc1 Tc 0.500 0.500 0.772 1
```

## Properties
Relative energy among the computed polymorphs: 146.6 meV/atom
DOS at the Fermi energy: 2.74 states/eV/cell
Crystal system: orthorhombic
M_tot: 1.62 μB per formula unit
E_form: 0.60 eV per atom



3.
The following is a DFT calculation (PBE-GGA) of a relaxed structure of MgCr2Cu.

Geometry as CIF:
```
data_MgCr2Cu
_chemical_formula_sum 'Mg1 Cr2 Cu1'
_cell_length_a 3.007
_cell_length_b 3.007
_cell_length_c 6.357
_cell_angle_alpha 90.00
_cell_angle_beta 90.00
_cell_angle_gamma 90.00
_space_group_name_H-M_alt 'P 4 m m'
_space_group_IT_number 99
_space_group_name_Hall 'P 4 -2'
loop_
_atom_site_label
_atom_site_type_symbol
_atom_site_fract_x
_atom_site_fract_y
_atom_site_fract_z
_atom_site_occupancy
Mg1 Mg 0.000 0.000 0.000 1
Cr1 Cr 0.000 0.000 0.485 1
Cr2 Cr 0.500 0.500 0.312 1
Cu1 Cu 0.500 0.500 0.739 1
```

## Properties
DOS at the Fermi energy: 2.71 states/eV/cell
Crystal system: tetragonal
M_tot: 0.08 μB per formula unit
E_form: 0.22 eV per atom



4.
The following is a DFT calculation (PBE-GGA) of a relaxed structure of CeCuSb2.

Geometry as CIF:
```
data_CeCuSb2
_chemical_formula_sum 'Ce1 Cu1 Sb2'
_cell_length_a 4.697
_cell_length_b 4.697
_cell_length_c 4.234
_cell_angle_alpha 90.00
_cell_angle_beta 90.00
_cell_angle_gamma 90.00
_space_group_name_H-M_alt 'P 4/m m m'
_space_group_IT_number 123
_space_group_name_Hall '-P 4 2'
loop_
_atom_site_label
_atom_site_type_symbol
_atom_site_fract_x
_atom_site_fract_y
_atom_site_fract_z
_atom_site_occupancy
Ce1 Ce 0.000 0.000 0.000 1
Cu1 Cu 0.500 0.500 0.000 1
Sb1 Sb 0.000 0.500 0.500 1
```

## Properties
DOS at the Fermi energy: 3.30 states/eV/cell
Crystal system: tetragonal
M_tot: 0.00 μB per formula unit
Uncorrected formation energy: -0.466 eV per atom



5.
The following is a DFT calculation (PBE-GGA) of a relaxed structure of TmThTe.

Geometry as CIF:
```
data_TmThTe
_chemical_formula_sum 'Tm2 Th2 Te2'
_cell_length_a 3.840
_cell_length_b 3.840
_cell_length_c 12.148
_cell_angle_alpha 90.00
_cell_angle_beta 90.00
_cell_angle_gamma 90.00
_space_group_name_H-M_alt 'I 4 m m'
_space_group_IT_number 107
_space_group_name_Hall 'I 4 -2'
loop_
_atom_site_label
_atom_site_type_symbol
_atom_site_fract_x
_atom_site_fract_y
_atom_site_fract_z
_atom_site_occupancy
Tm1 Tm 0.000 0.000 0.000 1
Th1 Th 0.000 0.000 0.693 1
Te1 Te 0.000 0.000 0.363 1
```

## Properties
Relative energy among the computed polymorphs: 67.8 meV/atom
DOS at the Fermi energy: 7.18 states/eV/cell
Crystal system: tetragonal
M_tot: 0.00 μB per formula unit
Uncorrected formation energy: -0.610 eV per atom



6.
The following is a DFT calculation (PBE-GGA) of a relaxed structure of YTh2Pa.

Geometry as CIF:
```
data_YTh2Pa
_chemical_formula_sum 'Y1 Th2 Pa1'
_cell_length_a 3.505
_cell_length_b 3.505
_cell_length_c 9.863
_cell_angle_alpha 90.00
_cell_angle_beta 90.00
_cell_angle_gamma 90.00
_space_group_name_H-M_alt 'P 4/m m m'
_space_group_IT_number 123
_space_group_name_Hall '-P 4 2'
loop_
_atom_site_label
_atom_site_type_symbol
_atom_site_fract_x
_atom_site_fract_y
_atom_site_fract_z
_atom_site_occupancy
Y1 Y 0.000 0.000 0.000 1
Th1 Th 0.500 0.500 0.262 1
Pa1 Pa 0.000 0.000 0.500 1
```

## Properties
Relative energy among the computed polymorphs: 0.0 meV/atom
DOS at the Fermi energy: 5.57 states/eV/cell
Crystal system: tetragonal
M_tot: 0.00 μB per formula unit
E_form: 0.08 eV per atom



7.
The following is a DFT calculation (PBE-GGA) of a relaxed structure of AcPaO4.

Geometry as CIF:
```
data_AcPaO4
_chemical_formula_sum 'Ac3 Pa3 O12'
_cell_length_a 4.0094
_cell_length_b 4.0094
_cell_length_c 19.4722
_cell_angle_alpha 90.00
_cell_angle_beta 90.00
_cell_angle_gamma 120.00
_space_group_name_H-M_alt 'R -3 m'
_space_group_IT_number 166
_space_group_name_Hall '-R 3 2"'
loop_
_atom_site_label
_atom_site_type_symbol
_atom_site_fract_x
_atom_site_fract_y
_atom_site_fract_z
_atom_site_occupancy
Ac1 Ac 0.0000 0.0000 0.0000 1
Pa1 Pa 0.0000 0.0000 0.5000 1
O1 O 0.0000 0.0000 0.1361 1
O2 O 0.0000 0.0000 0.3880 1
```

## Properties
DOS at the Fermi energy: 0.00 states/eV/cell
Crystal system: trigonal
M_tot: 0.00 μB per formula unit
Uncorrected formation energy: -3.661 eV per atom



8.
The following is a DFT calculation (PBE-GGA) of a relaxed structure of Ag2TeI.

Geometry as CIF:
```
data_Ag2TeI
_chemical_formula_sum 'Ag8 Te4 I4'
_cell_length_a 4.718
_cell_length_b 17.957
_cell_length_c 5.844
_cell_angle_alpha 90.00
_cell_angle_beta 90.00
_cell_angle_gamma 90.00
_space_group_name_H-M_alt 'C m c 21'
_space_group_IT_number 36
_space_group_name_Hall 'C 2c -2'
loop_
_atom_site_label
_atom_site_type_symbol
_atom_site_fract_x
_atom_site_fract_y
_atom_site_fract_z
_atom_site_occupancy
Ag1 Ag 0.000 0.098 0.000 1
Ag2 Ag 0.000 0.332 0.249 1
Te1 Te 0.000 0.479 0.408 1
I1 I 0.000 0.184 0.421 1
```

## Properties
Relative energy among the computed polymorphs: 7.7 meV/atom
DOS at the Fermi energy: 1.03 states/eV/cell
Crystal system: orthorhombic
M_tot: 0.00 μB per formula unit
Uncorrected formation energy: -0.121 eV per atom



9.
The following is a DFT calculation (PBE-GGA) of a relaxed structure of TlAsRu.

Geometry as CIF:
```
data_TlAsRu
_chemical_formula_sum 'Tl2 As2 Ru2'
_cell_length_a 4.137
_cell_length_b 4.137
_cell_length_c 8.507
_cell_angle_alpha 90.00
_cell_angle_beta 90.00
_cell_angle_gamma 90.00
_space_group_name_H-M_alt 'P 4/n m m'
_space_group_IT_number 129
loop_
_space_group_symop_operation_xyz
'x,y,z'
'-x,-y,-z'
'-y+1/2,x,z'
'y+1/2,-x,-z'
'-x+1/2,-y+1/2,z'
'x+1/2,y+1/2,-z'
'y,-x+1/2,z'
'-y,x+1/2,-z'
'x+1/2,-y,-z'
'-x+1/2,y,z'
'-y,-x,-z'
'y,x,z'
'-x,y+1/2,-z'
'x,-y+1/2,z'
'y+1/2,x+1/2,-z'
'-y+1/2,-x+1/2,z'
loop_
_atom_site_label
_atom_site_type_symbol
_atom_site_fract_x
_atom_site_fract_y
_atom_site_fract_z
_atom_site_occupancy
Tl1 Tl 0.250 0.250 0.173 1
As1 As 0.250 0.250 0.655 1
Ru1 Ru 0.250 0.750 0.500 1
```

## Properties
Relative energy among the computed polymorphs: 0.0 meV/atom
DOS at the Fermi energy: 2.73 states/eV/cell
Crystal system: tetragonal
M_tot: 0.00 μB per formula unit
E_form: -0.17 eV per atom



10.
The following is a DFT calculation (PBE-GGA) of a relaxed structure of AsPtPb4.

Geometry as CIF:
```
data_AsPtPb4
_chemical_formula_sum 'As4 Pt4 Pb16'
_cell_length_a 8.843
_cell_length_b 8.843
_cell_length_c 8.843
_cell_angle_alpha 90.00
_cell_angle_beta 90.00
_cell_angle_gamma 90.00
_space_group_name_H-M_alt 'F -4 3 m'
_space_group_IT_number 216
_space_group_name_Hall 'F -4 2 3'
loop_
_atom_site_label
_atom_site_type_symbol
_atom_site_fract_x
_atom_site_fract_y
_atom_site_fract_z
_atom_site_occupancy
As1 As 0.000 0.000 0.000 1
Pt1 Pt 0.250 0.250 0.250 1
Pb1 Pb 0.125 0.125 0.625 1
```

## Properties
DOS at the Fermi energy: 10.75 states/eV/cell
Crystal system: cubic
M_tot: 0.00 μB per formula unit
E_form: 0.64 eV per atom



11.
The following is a DFT calculation (PBE-GGA) of a relaxed structure of Re2MoSe.

Geometry as CIF:
```
data_Re2MoSe
_chemical_formula_sum 'Re2 Mo1 Se1'
_cell_length_a 3.007
_cell_length_b 3.007
_cell_length_c 6.746
_cell_angle_alpha 90.00
_cell_angle_beta 90.00
_cell_angle_gamma 90.00
_space_group_name_H-M_alt 'P 4/m m m'
_space_group_IT_number 123
_space_group_name_Hall '-P 4 2'
loop_
_atom_site_label
_atom_site_type_symbol
_atom_site_fract_x
_atom_site_fract_y
_atom_site_fract_z
_atom_site_occupancy
Re1 Re 0.000 0.000 0.242 1
Mo1 Mo 0.500 0.500 0.500 1
Se1 Se 0.500 0.500 0.000 1
```

## Properties
DOS at the Fermi energy: 1.61 states/eV/cell
Crystal system: tetragonal
M_tot: 0.00 μB per formula unit
Uncorrected formation energy: 0.313 eV per atom



12.
The following is a DFT calculation (PBE-GGA) of a relaxed structure of Re2SbSe.

Geometry as CIF:
```
data_Re2SbSe
_chemical_formula_sum 'Re8 Sb4 Se4'
_cell_length_a 6.429
_cell_length_b 6.429
_cell_length_c 6.429
_cell_angle_alpha 90.00
_cell_angle_beta 90.00
_cell_angle_gamma 90.00
_space_group_name_H-M_alt 'F m -3 m'
_space_group_IT_number 225
_space_group_name_Hall '-F 4 2 3'
loop_
_atom_site_label
_atom_site_type_symbol
_atom_site_fract_x
_atom_site_fract_y
_atom_site_fract_z
_atom_site_occupancy
Re1 Re 0.250 0.250 0.250 1
Sb1 Sb 0.000 0.000 0.000 1
Se1 Se 0.000 0.000 0.500 1
```

## Properties
Relative energy among the computed polymorphs: 505.0 meV/atom
DOS at the Fermi energy: 12.46 states/eV/cell
Crystal system: cubic
M_tot: 0.00 μB per formula unit
Uncorrected formation energy: 0.688 eV per atom